No. 1
The following is a PBE calculation of an optimized crystal structure of Cd3ReF, from the Alexandria database.

a b c (Å): 4.5463 4.5463 4.5463
angles (deg): 90.00 90.00 90.00
Fractional positions:
Cd: 0.0000 0.0000 0.5000
Cd: 0.0000 0.5000 0.0000
Cd: 0.5000 0.0000 0.0000
Re: 0.5000 0.5000 0.5000
F: 0.0000 0.0000 0.0000

Energy = -15.17 eV/f.u.
Energy relative to the elements, uncorrected = 0.38 eV/atom
DOS(E_F) = 0.345 states/eV/atom
Offset from the most stable computed form = 0.000 eV/atom

***

No. 2
The following is a PBE calculation of an optimized crystal structure of Cd3ReF, from the Alexandria database.

a b c (Å): 5.4098 5.4098 5.4098
angles (deg): 90.00 90.00 90.00
Fractional positions:
Cd: 0.0000 0.0000 0.5000
Cd: 0.0000 0.5000 0.0000
Cd: 0.5000 0.0000 0.0000
Re: 0.0000 0.0000 0.0000
F: 0.5000 0.5000 0.5000

Energy = -13.48 eV/f.u.
Energy relative to the elements, uncorrected = 0.72 eV/atom
DOS(E_F) = 0.606 states/eV/atom
Offset from the most stable computed form = 0.338 eV/atom

***

Q: Which formula does entry 2 have?
A: Cd3ReF